An optimized crystal structure of LaOs3, computed with PBE-GGA.

Cell and atoms, written as POSCAR:
```
LaOs3
1.0
1.986 1.587 5.165
-5.409 -1.513 1.263
1.330 -4.125 0.756
Os La
6 2
Cartesian
-1.226 -1.389 0.980
-3.307 -1.344 4.890
1.863 -1.976 5.141
1.215 -2.707 2.295
-0.867 -2.662 6.204
-3.956 -2.074 2.044
-1.511 -3.391 3.361
-0.582 -0.660 3.824
```

An optimized crystal structure of LaOs3, computed with PBE-GGA.

Cell and atoms, written as POSCAR:
```
LaOs3
1.0
0.586 6.588 -0.677
-5.369 -2.574 2.960
2.012 0.215 3.835
Os La
6 2
Cartesian
0.177 0.350 3.565
-3.078 -1.210 5.360
-2.723 2.785 4.949
0.307 5.440 0.759
-0.048 1.445 1.170
-2.948 3.879 2.554
-2.881 0.534 2.707
0.110 3.696 3.412
```

An optimized crystal structure of LaOs3, computed with PBE-GGA.

Cell and atoms, written as POSCAR:
```
LaOs3
1.0
-5.308 -0.087 3.057
-1.902 -5.165 2.688
4.434 2.409 7.768
Os La
12 4
Cartesian
-3.605 -2.626 2.872
-0.951 -2.583 1.344
-0.437 1.161 5.413
-1.388 -1.422 6.756
-1.092 -2.532 4.170
-2.654 -0.043 1.528
-2.455 -2.404 10.432
-1.684 -0.311 9.343
-0.321 -0.439 3.081
-0.304 -2.369 9.193
-2.472 -0.474 4.320
1.266 -1.378 5.228
2.217 1.204 3.884
-3.698 -2.899 5.772
0.922 0.056 7.741
0.000 0.000 0.000
```

For the records above, the corresponding formation energy values read 606, 654, 730 meV/atom.